VASP calculation (GGA-PBE) on a geometry-optimized In2Ga8Ag structure.

Results
density: 6.46 Mg/m³
final energy: -2.91 eV per atom
excess energy over the best structure of this formula in the dataset: 0 meV per atom

Cell: 4.132 4.132 13.485 Å, 90.00 90.00 90.00°
Element x y z (fractional)
In 0.000 0.000 0.171
In 0.000 0.000 0.829
Ga 0.000 0.500 0.000
Ga 0.000 0.500 0.365
Ga 0.000 0.500 0.635
Ga 0.500 0.000 0.000
Ga 0.500 0.000 0.365
Ga 0.500 0.000 0.635
Ga 0.500 0.500 0.212
Ga 0.500 0.500 0.788
Ag 0.000 0.000 0.500